No. 1
DFT (PBE) results for a relaxed SiTcPt2 crystal.

Unit cell a=2.909 b=2.909 c=6.869 alpha=90.00 beta=90.00 gamma=90.00
Element x y z (fractional)
Si  0.000  0.000  0.000
Tc  0.500  0.500  0.212
Pt  0.000  0.000  0.479
Pt  0.500  0.500  0.788

* E_form (uncorrected): -0.31 eV/atom
* symmetry: P4mm
* crystal system: tetragonal
* total moment: 0.00 μB per formula unit
* N(E_F): 4.3 states/eV/cell
* energy: -7.282 eV per atom

=====

No. 2
DFT (PBE) results for a relaxed TcIrPb3 crystal.

Unit cell a=5.278 b=5.278 c=5.278 alpha=90.00 beta=90.00 gamma=90.00
Element x y z (fractional)
Tc  0.000  0.000  0.000
Ir  0.500  0.500  0.500
Pb  0.000  0.500  0.500
Pb  0.500  0.000  0.500
Pb  0.500  0.500  0.000

* symmetry: Pm-3m
* energy relative to the elements: 5.6 eV per formula unit
* crystal system: cubic
* total moment: 3.08 μB per formula unit
* N(E_F): 8.1 states/eV/cell
* energy: -4.954 eV per atom

=====

No. 3
DFT (PBE) results for a relaxed TiV3 crystal.

Unit cell a=4.327 b=4.327 c=3.053 alpha=90.00 beta=90.00 gamma=90.00
Element x y z (fractional)
Ti  0.000  0.000  0.000
V  0.000  0.500  0.500
V  0.500  0.000  0.500
V  0.500  0.500  0.000

* symmetry: P4/mmm
* energy relative to the elements: 0.3 eV per formula unit
* crystal system: tetragonal
* total moment: 0.00 μB per formula unit
* N(E_F): 8.1 states/eV/cell
* energy: -8.735 eV per atom

=====

No. 4
DFT (PBE) results for a relaxed Tb3Ho8In crystal.

Unit cell a=8.267 b=8.267 c=8.267 alpha=117.44 beta=117.44 gamma=94.49
Element x y z (fractional)
Tb  0.000  0.000  0.000
Tb  0.250  0.750  0.500
Tb  0.750  0.250  0.500
Ho  0.119  0.119  0.747
Ho  0.232  0.232  0.495
Ho  0.263  0.768  0.000
Ho  0.372  0.372  0.253
Ho  0.628  0.881  0.000
Ho  0.737  0.737  0.505
Ho  0.768  0.263  0.000
Ho  0.881  0.628  0.000
In  0.500  0.500  0.000

* symmetry: I-42m
* energy relative to the elements: 6.3 eV per formula unit
* crystal system: tetragonal
* total moment: 0.00 μB per formula unit
* N(E_F): 15.9 states/eV/cell
* energy: -3.914 eV per atom

=====

No. 5
DFT (PBE) results for a relaxed TiHg3Se2F6 crystal.

Unit cell a=7.696 b=7.696 c=5.228 alpha=104.39 beta=104.39 gamma=54.44
Element x y z (fractional)
Ti  0.000  0.000  0.000
Hg  0.000  0.500  0.000
Hg  0.500  0.000  0.000
Hg  0.500  0.500  0.500
Se  0.307  0.307  0.359
Se  0.693  0.693  0.641
F  0.095  0.095  0.795
F  0.117  0.727  0.784
F  0.273  0.883  0.216
F  0.727  0.117  0.784
F  0.883  0.273  0.216
F  0.905  0.905  0.205

* E_form (uncorrected): -1.94 eV/atom
* symmetry: C2/m
* crystal system: monoclinic
* total moment: 0.00 μB per formula unit
* N(E_F): 0.0 states/eV/cell
* energy: -4.194 eV per atom

=====

No. 6
DFT (PBE) results for a relaxed La7Tb5 crystal.

Unit cell a=9.757 b=9.757 c=13.460 alpha=117.71 beta=117.71 gamma=21.81
Element x y z (fractional)
La  0.000  0.000  0.000
La  0.141  0.141  0.752
La  0.167  0.167  0.503
La  0.473  0.473  0.750
La  0.527  0.527  0.250
La  0.833  0.833  0.497
La  0.859  0.859  0.248
Tb  0.192  0.192  0.248
Tb  0.331  0.331  0.995
Tb  0.500  0.500  0.500
Tb  0.669  0.669  0.005
Tb  0.808  0.808  0.752

* symmetry: C2/m
* energy relative to the elements: 0.2 eV per formula unit
* crystal system: monoclinic
* total moment: 0.00 μB per formula unit
* N(E_F): 18.6 states/eV/cell
* energy: -4.787 eV per atom

=====

No. 7
DFT (PBE) results for a relaxed Tb2Sm3Dy6Pu crystal.

Unit cell a=6.163 b=6.163 c=11.736 alpha=95.04 beta=95.04 gamma=120.02
Element x y z (fractional)
Tb  0.167  0.833  0.000
Tb  0.833  0.167  0.000
Sm  0.000  0.000  0.500
Sm  0.333  0.667  0.500
Sm  0.667  0.333  0.500
Dy  0.089  0.418  0.754
Dy  0.253  0.253  0.246
Dy  0.418  0.089  0.754
Dy  0.582  0.911  0.246
Dy  0.747  0.747  0.754
Dy  0.911  0.582  0.246
Pu  0.500  0.500  0.000

* symmetry: C2/m
* energy relative to the elements: 0.5 eV per formula unit
* crystal system: monoclinic
* total moment: 6.49 μB per formula unit
* N(E_F): 23.6 states/eV/cell
* energy: -5.404 eV per atom

=====

No. 8
DFT (PBE) results for a relaxed Pr12Nd2Er5 crystal.

Unit cell a=9.334 b=9.334 c=8.998 alpha=99.77 beta=99.77 gamma=61.14
Element x y z (fractional)
Pr  0.022  0.022  0.172
Pr  0.076  0.580  0.771
Pr  0.188  0.576  0.197
Pr  0.418  0.418  0.581
Pr  0.420  0.924  0.229
Pr  0.424  0.812  0.803
Pr  0.576  0.188  0.197
Pr  0.580  0.076  0.771
Pr  0.582  0.582  0.419
Pr  0.812  0.424  0.803
Pr  0.924  0.420  0.229
Pr  0.978  0.978  0.828
Nd  0.174  0.826  0.500
Nd  0.826  0.174  0.500
Er  0.190  0.190  0.551
Er  0.216  0.216  0.942
Er  0.500  0.500  0.000
Er  0.784  0.784  0.058
Er  0.810  0.810  0.449

* symmetry: C2/m
* energy relative to the elements: 3.6 eV per formula unit
* crystal system: monoclinic
* total moment: 0.00 μB per formula unit
* N(E_F): 21.3 states/eV/cell
* energy: -4.532 eV per atom

=====

No. 9
DFT (PBE) results for a relaxed KSrPCl2 crystal.

Unit cell a=5.704 b=5.704 c=6.128 alpha=90.00 beta=90.00 gamma=90.00
Element x y z (fractional)
K  0.000  0.000  0.000
Sr  0.500  0.500  0.500
P  0.500  0.500  0.000
Cl  0.000  0.500  0.500
Cl  0.500  0.000  0.500

* E_form (uncorrected): -1.15 eV/atom
* symmetry: P4/mmm
* crystal system: tetragonal
* total moment: 2.00 μB per formula unit
* N(E_F): 1.4 states/eV/cell
* energy: -3.529 eV per atom

=====

No. 10
DFT (PBE) results for a relaxed SmPaRu crystal.

Unit cell a=6.583 b=6.583 c=8.438 alpha=129.46 beta=129.46 gamma=33.27
Element x y z (fractional)
Sm  0.000  0.000  0.000
Sm  0.133  0.133  0.558
Pa  0.345  0.345  0.131
Pa  0.400  0.400  0.567
Ru  0.665  0.665  0.914
Ru  0.736  0.736  0.322

* symmetry: Cm
* energy relative to the elements: -0.6 eV per formula unit
* crystal system: monoclinic
* total moment: 0.00 μB per formula unit
* N(E_F): 7.4 states/eV/cell
* energy: -8.037 eV per atom

=====

No. 11
DFT (PBE) results for a relaxed LaCeMgPb crystal.

Unit cell a=5.564 b=5.564 c=5.564 alpha=60.00 beta=60.00 gamma=60.00
Element x y z (fractional)
La  0.000  0.000  0.000
Ce  0.500  0.500  0.500
Mg  0.250  0.250  0.250
Pb  0.750  0.750  0.750

* symmetry: F-43m
* energy relative to the elements: -1.0 eV per formula unit
* crystal system: cubic
* total moment: 1.26 μB per formula unit
* N(E_F): 10.2 states/eV/cell
* energy: -4.291 eV per atom

=====

No. 12
DFT (PBE) results for a relaxed PuNi2Ge2 crystal.

Unit cell a=4.128 b=4.128 c=9.596 alpha=90.00 beta=90.00 gamma=90.00
Element x y z (fractional)
Pu  0.250  0.250  0.248
Pu  0.750  0.750  0.752
Ni  0.250  0.250  0.626
Ni  0.250  0.750  0.000
Ni  0.750  0.250  0.000
Ni  0.750  0.750  0.374
Ge  0.250  0.250  0.871
Ge  0.250  0.750  0.500
Ge  0.750  0.250  0.500
Ge  0.750  0.750  0.129

* symmetry: P4/nmm
* energy relative to the elements: -2.5 eV per formula unit
* crystal system: tetragonal
* total moment: 5.32 μB per formula unit
* N(E_F): 27.2 states/eV/cell
* energy: -7.526 eV per atom

=====

No. 13
DFT (PBE) results for a relaxed Ta3Re2W3 crystal.

Unit cell a=7.121 b=7.121 c=3.158 alpha=90.00 beta=90.00 gamma=120.00
Element x y z (fractional)
Ta  0.000  0.593  0.000
Ta  0.407  0.407  0.000
Ta  0.593  0.000  0.000
Re  0.333  0.667  0.500
Re  0.667  0.333  0.500
W  0.000  0.212  0.500
W  0.212  0.000  0.500
W  0.788  0.788  0.500

* symmetry: P-62m
* energy relative to the elements: 2.9 eV per formula unit
* crystal system: hexagonal
* total moment: 0.00 μB per formula unit
* N(E_F): 8.6 states/eV/cell
* energy: -12.058 eV per atom

=====

No. 14
DFT (PBE) results for a relaxed NbTcRuW crystal.

Unit cell a=4.463 b=4.463 c=4.463 alpha=60.00 beta=60.00 gamma=60.00
Element x y z (fractional)
Nb  0.000  0.000  0.000
Tc  0.250  0.250  0.250
Ru  0.750  0.750  0.750
W  0.500  0.500  0.500

* symmetry: F-43m
* energy relative to the elements: -0.1 eV per formula unit
* crystal system: cubic
* total moment: 0.00 μB per formula unit
* N(E_F): 3.9 states/eV/cell
* energy: -10.685 eV per atom

=====

No. 15
DFT (PBE) results for a relaxed K2ZrBiSe4 crystal.

Unit cell a=7.461 b=4.111 c=7.952 alpha=90.00 beta=106.82 gamma=90.00
Element x y z (fractional)
K  0.000  0.000  0.000
K  0.500  0.500  0.000
Zr  0.000  0.500  0.500
Bi  0.500  0.000  0.500
Se  0.219  0.000  0.699
Se  0.246  0.500  0.294
Se  0.754  0.500  0.706
Se  0.781  0.000  0.301

* E_form (uncorrected): -1.03 eV/atom
* symmetry: P2/m
* crystal system: monoclinic
* total moment: 0.91 μB per formula unit
* N(E_F): 3.5 states/eV/cell
* energy: -4.595 eV per atom

=====

No. 16
DFT (PBE) results for a relaxed LiNpAgBr6 crystal.

Unit cell a=6.975 b=6.975 c=12.946 alpha=90.00 beta=90.00 gamma=120.00
Element x y z (fractional)
Li  0.333  0.667  0.250
Li  0.667  0.333  0.750
Np  0.333  0.667  0.750
Np  0.667  0.333  0.250
Ag  0.000  0.000  0.000
Ag  0.000  0.000  0.500
Br  0.000  0.344  0.628
Br  0.000  0.345  0.128
Br  0.000  0.655  0.872
Br  0.000  0.656  0.372
Br  0.344  0.000  0.128
Br  0.344  0.345  0.372
Br  0.345  0.000  0.628
Br  0.345  0.344  0.872
Br  0.655  0.000  0.372
Br  0.655  0.656  0.128
Br  0.656  0.000  0.872
Br  0.656  0.655  0.628

* E_form (uncorrected): -1.09 eV/atom
* symmetry: P-31c
* crystal system: trigonal
* total moment: 3.00 μB per formula unit
* N(E_F): 9.4 states/eV/cell
* energy: -4.169 eV per atom

=====

No. 17
DFT (PBE) results for a relaxed VSn3N crystal.

Unit cell a=4.690 b=4.690 c=4.690 alpha=90.00 beta=90.00 gamma=90.00
Element x y z (fractional)
V  0.000  0.000  0.000
Sn  0.000  0.500  0.500
Sn  0.500  0.000  0.500
Sn  0.500  0.500  0.000
N  0.500  0.500  0.500

* E_form (uncorrected): 0.73 eV/atom
* symmetry: Pm-3m
* crystal system: cubic
* total moment: 3.13 μB per formula unit
* N(E_F): 6.9 states/eV/cell
* energy: -5.163 eV per atom

=====

No. 18
DFT (PBE) results for a relaxed K5Th3S8 crystal.

Unit cell a=8.836 b=8.836 c=8.836 alpha=57.66 beta=57.66 gamma=57.66
Element x y z (fractional)
K  0.000  0.000  0.000
K  0.000  0.500  0.500
K  0.500  0.000  0.500
K  0.500  0.500  0.000
K  0.500  0.500  0.500
Th  0.000  0.000  0.500
Th  0.000  0.500  0.000
Th  0.500  0.000  0.000
S  0.208  0.750  0.750
S  0.235  0.235  0.235
S  0.250  0.250  0.792
S  0.250  0.792  0.250
S  0.750  0.208  0.750
S  0.750  0.750  0.208
S  0.765  0.765  0.765
S  0.792  0.250  0.250

* E_form (uncorrected): -1.67 eV/atom
* symmetry: R-3m
* crystal system: trigonal
* total moment: 0.00 μB per formula unit
* N(E_F): 6.2 states/eV/cell
* energy: -5.470 eV per atom

=====

No. 19
DFT (PBE) results for a relaxed LiMo4Br crystal.

Unit cell a=5.326 b=5.326 c=5.326 alpha=60.00 beta=60.00 gamma=60.00
Element x y z (fractional)
Li  0.000  0.000  0.000
Mo  0.126  0.625  0.625
Mo  0.625  0.126  0.625
Mo  0.625  0.625  0.126
Mo  0.625  0.625  0.625
Br  0.250  0.250  0.250

* E_form (uncorrected): 0.87 eV/atom
* symmetry: F-43m
* crystal system: cubic
* total moment: 0.00 μB per formula unit
* N(E_F): 4.8 states/eV/cell
* energy: -6.946 eV per atom

=====

No. 20
DFT (PBE) results for a relaxed In2RePd crystal.

Unit cell a=9.837 b=9.837 c=9.837 alpha=155.67 beta=155.67 gamma=34.67
Element x y z (fractional)
In  0.120  0.625  0.995
In  0.375  0.370  0.495
In  0.630  0.125  0.005
In  0.875  0.880  0.505
Re  0.000  0.000  0.000
Re  0.750  0.250  0.500
Pd  0.250  0.750  0.500
Pd  0.500  0.500  0.000

* symmetry: I-42d
* energy relative to the elements: 2.8 eV per formula unit
* crystal system: tetragonal
* total moment: 0.65 μB per formula unit
* N(E_F): 6.4 states/eV/cell
* energy: -5.080 eV per atom

=====

No. 21
DFT (PBE) results for a relaxed CrCd2As crystal.

Unit cell a=9.595 b=9.595 c=9.595 alpha=19.02 beta=19.02 gamma=19.02
Element x y z (fractional)
Cr  0.000  0.000  0.000
Cd  0.253  0.253  0.253
Cd  0.747  0.747  0.747
As  0.500  0.500  0.500

* symmetry: R-3m
* energy relative to the elements: 1.6 eV per formula unit
* crystal system: trigonal
* total moment: 4.21 μB per formula unit
* N(E_F): 2.1 states/eV/cell
* energy: -3.627 eV per atom

=====

No. 22
DFT (PBE) results for a relaxed Ta2ReRu crystal.

Unit cell a=2.821 b=2.821 c=8.714 alpha=90.00 beta=90.00 gamma=110.70
Element x y z (fractional)
Ta  0.000  0.000  0.247
Ta  0.000  0.000  0.753
Re  0.500  0.500  0.500
Ru  0.500  0.500  0.000

* symmetry: Cmmm
* energy relative to the elements: -0.6 eV per formula unit
* crystal system: orthorhombic
* total moment: 0.00 μB per formula unit
* N(E_F): 3.5 states/eV/cell
* energy: -11.520 eV per atom

=====

No. 23
DFT (PBE) results for a relaxed LiMg2ZnPt crystal.

Unit cell a=4.898 b=4.898 c=4.717 alpha=90.00 beta=90.00 gamma=90.00
Element x y z (fractional)
Li  0.000  0.000  0.000
Mg  0.000  0.500  0.500
Mg  0.500  0.000  0.500
Zn  0.500  0.500  0.500
Pt  0.500  0.500  0.000

* symmetry: P4/mmm
* energy relative to the elements: 0.5 eV per formula unit
* crystal system: tetragonal
* total moment: 0.00 μB per formula unit
* N(E_F): 2.3 states/eV/cell
* energy: -2.387 eV per atom

=====

No. 24
DFT (PBE) results for a relaxed ErSbAu2 crystal.

Unit cell a=4.378 b=4.378 c=4.534 alpha=90.00 beta=90.00 gamma=90.00
Element x y z (fractional)
Er  0.000  0.000  0.000
Sb  0.500  0.500  0.000
Au  0.000  0.500  0.500
Au  0.500  0.000  0.500

* E_form (uncorrected): -0.58 eV/atom
* symmetry: P4/mmm
* crystal system: tetragonal
* total moment: 0.00 μB per formula unit
* N(E_F): 2.5 states/eV/cell
* energy: -4.389 eV per atom

=====

No. 25
DFT (PBE) results for a relaxed BaSr2ZnIn crystal.

Unit cell a=6.178 b=6.178 c=5.356 alpha=90.00 beta=90.00 gamma=90.00
Element x y z (fractional)
Ba  0.000  0.000  0.000
Sr  0.000  0.500  0.500
Sr  0.500  0.000  0.500
Zn  0.500  0.500  0.500
In  0.500  0.500  0.000

* symmetry: P4/mmm
* energy relative to the elements: -0.4 eV per formula unit
* crystal system: tetragonal
* total moment: 0.00 μB per formula unit
* N(E_F): 2.9 states/eV/cell
* energy: -1.934 eV per atom